The following is a DFT calculation (PBE) of a relaxed structure of PuPd2O6.

Cell: 5.241 5.241 4.683 Å, 90.00 90.00 120.00°
Last column: magnetic moment on the atom in μB.
Element x y z (fractional)
O (0.342, 0.000, 0.738)  -0.05
O (0.000, 0.658, 0.262)  -0.05
O (0.658, 0.658, 0.738)  -0.05
O (0.658, 0.000, 0.262)  -0.05
O (0.000, 0.342, 0.738)  -0.05
Pu (0.000, 0.000, 0.000)  3.78
O (0.342, 0.342, 0.262)  -0.05
Pd (0.667, 0.333, 0.500)  0.23
Pd (0.333, 0.667, 0.500)  0.23

- Calculated total energy: -7.305 eV per atom
- Uncorrected formation energy: -1253 meV per atom
- SG: No. 162

---

The following is a DFT calculation (PBE) of a relaxed structure of RbPu2PdO8.

Cell: 6.127 6.127 7.495 Å, 90.00 90.00 120.00°
Last column: magnetic moment on the atom in μB.
Element x y z (fractional)
O (0.844, 0.156, 0.154)  -0.11
O (0.688, 0.844, 0.846)  -0.11
O (0.844, 0.688, 0.154)  -0.11
O (0.312, 0.156, 0.154)  -0.11
O (0.156, 0.844, 0.846)  -0.11
Pu (0.333, 0.667, 0.755)  3.00
O (0.333, 0.667, 0.503)  -0.21
Pu (0.667, 0.333, 0.245)  3.00
O (0.667, 0.333, 0.497)  -0.21
Rb (0.000, 0.000, 0.500)  0.00
O (0.156, 0.312, 0.846)  -0.11
Pd (0.000, 0.000, 0.000)  0.06

- Calculated total energy: -7.815 eV per atom
- Uncorrected formation energy: -1607 meV per atom
- SG: No. 164